A relaxed structure of CoP2I2. Source: the Alexandria database, functional PBE.

Calculated values
Its uncorrected formation energy is 0.363 eV/atom. Its density is 4.2 g/cm3. Its space-group type is P4/mbm, No. 127. The total energy is -3.84 eV per atom. Its energy above the most stable polymorph in this dataset is 0.0 meV per atom.

Structure (POSCAR):
```
CoP2I2
1.0
5.883 0.000 0.000
0.000 5.883 0.000
0.000 0.000 8.503
Co P I
2 4 4
Cartesian
0.000 0.000 0.000 Co
2.942 2.942 0.000 Co
0.765 2.177 0.000 P
2.177 5.118 0.000 P
3.707 0.765 0.000 P
5.118 3.707 0.000 P
1.104 1.838 4.251 I
1.838 4.780 4.251 I
4.046 1.104 4.251 I
4.780 4.046 4.251 I
```